Pu2In9Sn | PBE-GGA | optimized geometry

a = 4.686 Å, b = 4.686 Å, c = 14.142 Å
α = 90.00°, β = 90.00°, γ = 90.00°
Space group P4/mmm (No. 123)
Inequivalent atoms, fractional coordinates:
Pu1 0.000 0.000 0.166 x2
In1 0.000 0.500 0.000 x2
In2 0.000 0.500 0.330 x4
In3 0.500 0.500 0.161 x2
In4 0.500 0.500 0.500 x1
Sn1 0.000 0.000 0.500 x1

For the energy relative to the elements, the calculation gives -0.116 eV/atom. The density of states at the Fermi level comes out at 2.164 states/eV/atom. Its total energy is -4.892 eV per atom.

---

Pu2In3Sn3 | PBE-GGA | optimized geometry

a = 4.547 Å, b = 4.650 Å, c = 9.531 Å
α = 90.00°, β = 90.00°, γ = 90.00°
Space group Pmmm (No. 47)
Inequivalent atoms, fractional coordinates:
Pu1 0.000 0.000 0.245 x2
In1 0.000 0.500 0.000 x1
In2 0.000 0.500 0.500 x1
In3 0.500 0.000 0.500 x1
Sn1 0.500 0.000 0.000 x1
Sn2 0.500 0.500 0.253 x2

For the energy relative to the elements, the calculation gives -0.315 eV/atom. The density of states at the Fermi level comes out at 2.657 states/eV/atom. Its total energy is -6.426 eV per atom.

---

PuInSn2 | PBE-GGA | optimized geometry

a = 7.539 Å, b = 7.539 Å, c = 7.539 Å
α = 90.00°, β = 90.00°, γ = 90.00°
Space group Fm-3m (No. 225)
Inequivalent atoms, fractional coordinates:
Pu1 0.000 0.000 0.000 x4
In1 0.000 0.000 0.500 x4
Sn1 0.250 0.250 0.250 x8

The value obtained for the energy above the lowest structure with this stoichiometry is 100 kJ/mol of formula units. For the energy relative to the elements, the calculation gives -0.073 eV/atom. The density of states at the Fermi level comes out at 2.696 states/eV/atom. Its total energy is -6.342 eV per atom.

---

PuInSn2 | PBE-GGA | optimized geometry

a = 4.714 Å, b = 4.714 Å, c = 4.536 Å
α = 90.00°, β = 90.00°, γ = 90.00°
Space group P4/mmm (No. 123)
Inequivalent atoms, fractional coordinates:
Pu1 0.000 0.000 0.000 x1
In1 0.500 0.500 0.000 x1
Sn1 0.000 0.500 0.500 x2

The value obtained for the energy above the lowest structure with this stoichiometry is 0 kJ/mol of formula units. For the energy relative to the elements, the calculation gives -0.333 eV/atom. The density of states at the Fermi level comes out at 2.515 states/eV/atom. Its total energy is -6.602 eV per atom.

---

PuIn2Sn | PBE-GGA | optimized geometry

a = 3.3522 Å, b = 3.3522 Å, c = 35.2341 Å
α = 90.00°, β = 90.00°, γ = 120.00°
Space group R-3m (No. 166, hexagonal axes)
Inequivalent atoms, fractional coordinates:
Pu1 0.0000 0.0000 0.0000 x3
In1 0.0000 0.0000 0.0913 x6
Sn1 0.0000 0.0000 0.5000 x3

The value obtained for the energy above the lowest structure with this stoichiometry is 192 kJ/mol of formula units. For the energy relative to the elements, the calculation gives 0.201 eV/atom. The density of states at the Fermi level comes out at 2.310 states/eV/atom. Its total energy is -5.752 eV per atom.

---

Pu2InSn4 | PBE-GGA | optimized geometry

a = 7.809 Å, b = 10.122 Å, c = 4.915 Å
α = 90.00°, β = 90.00°, γ = 90.00°
Space group Cmmm (No. 65)
Inequivalent atoms, fractional coordinates:
Pu1 0.000 0.211 0.000 x4
In1 0.000 0.000 0.500 x2
Sn1 0.196 0.500 0.000 x4
Sn2 0.250 0.250 0.500 x4

For the energy relative to the elements, the calculation gives -0.217 eV/atom. The density of states at the Fermi level comes out at 3.061 states/eV/atom. Its total energy is -6.990 eV per atom.